CaLuAl2: optimized geometry, PBE-GGA.

Geometry as POSCAR:
```
CaLuAl2
1.0
7.219 0.000 0.000
0.000 7.219 0.000
0.000 0.000 7.219
Ca Lu Al
4 4 8
Direct
0.000 0.000 0.000
0.000 0.500 0.500
0.500 0.000 0.500
0.500 0.500 0.000
0.000 0.000 0.500
0.000 0.500 0.000
0.500 0.000 0.000
0.500 0.500 0.500
0.250 0.250 0.250
0.250 0.250 0.750
0.250 0.750 0.250
0.250 0.750 0.750
0.750 0.250 0.250
0.750 0.250 0.750
0.750 0.750 0.250
0.750 0.750 0.750
```

Calculated formation energy ... -5.71 kcal/mol of atoms
E ... -3.750 eV/atom
Symmetry ... Fm-3m (225)
DOS at the Fermi energy ... 2.5 states/eV/f.u.
E above lowest polymorph ... 41 meV per atom